# PmHo5Er2, relaxed, DFT PBE
# magnetic moment: 0.000 μB/cell
# ΔE_f: 0.1310 eV/atom
# SG: P-1, No. 2
# VASP energy: -4.46 eV/atom
# density: 8.6 g/cm3
# excess energy over the best structure of this formula in the dataset: 113 meV/atom
data_PmHo5Er2
_chemical_formula_sum 'Pm2 Ho10 Er4'
_cell_length_a 6.437
_cell_length_b 9.255
_cell_length_c 9.890
_cell_angle_alpha 108.30
_cell_angle_beta 102.95
_cell_angle_gamma 106.09
_space_group_name_H-M_alt 'P 1'
_space_group_IT_number 1
_space_group_name_Hall 'P 1'
loop_
_atom_site_label
_atom_site_fract_x
_atom_site_fract_y
_atom_site_fract_z
Pm1 0.205 0.432 0.463
Pm2 0.795 0.568 0.537
Ho1 0.002 0.837 0.405
Ho2 0.043 0.515 0.839
Ho3 0.126 0.886 0.109
Ho4 0.486 0.171 0.477
Ho5 0.499 0.670 0.154
Ho6 0.501 0.330 0.846
Ho7 0.514 0.829 0.523
Ho8 0.874 0.114 0.891
Ho9 0.957 0.485 0.161
Ho10 0.998 0.163 0.595
Er1 0.256 0.930 0.804
Er2 0.408 0.298 0.168
Er3 0.592 0.702 0.832
Er4 0.744 0.070 0.196